No. 1
First-principles (GGA-PBE) data for crystalline La6BiSe4 at its relaxed geometry, as listed in Alexandria.

Values from the calculation:
**Calculated total energy**: -260.71 eV per cell
**Uncorrected formation energy**: -1.618 eV/atom
**Total magnetic moment**: 2.5 Bohr magnetons per cell

a b c (Å): 4.3609 14.1526 21.9940
angles (deg): 90.00 90.00 90.00
Closest atoms and distances in Å follow each position.
Space group Cmcm (No. 63)
Inequivalent atoms, fractional coordinates:
1 La 0.0000 0.0000 0.0000 (multiplicity 4)  6 Se 2.99-3.06
2 La 0.0000 0.1586 0.2500 (multiplicity 4)  2 Se 2.95, 2 Bi 3.30
3 La 0.0000 0.2713 0.5887 (multiplicity 8)  5 Se 3.03-3.07
4 La 0.0000 0.4529 0.1607 (multiplicity 8)  3 Se 3.00-3.03
5 Bi 0.0000 0.1662 0.7500 (multiplicity 4)  6 La 3.30-3.38
6 Se 0.0000 0.0899 0.1232 (multiplicity 8)  6 La 2.95-3.03
7 Se 0.0000 0.3599 0.0380 (multiplicity 8)  6 La 3.00-3.07

=====

No. 2
First-principles (GGA-PBE) data for crystalline Ca3YTi at its relaxed geometry, as listed in Alexandria.

Values from the calculation:
**Energy of formation from the pure elements**: 1376 meV per atom
**Calculated total energy**: -13.48 eV per cell
**Total magnetic moment**: 0.0 Bohr magnetons per cell

a b c (Å): 5.7071 5.7071 5.7071
angles (deg): 90.00 90.00 90.00
Closest atoms and distances in Å follow each position.
Space group Pm-3m (No. 221)
Inequivalent atoms, fractional coordinates:
1 Ca 0.0000 0.0000 0.5000 (multiplicity 3)  2 Y 2.85
2 Y 0.0000 0.0000 0.0000 (multiplicity 1)  6 Ca 2.85
3 Ti 0.5000 0.5000 0.5000 (multiplicity 1)  12 Ca 4.04

=====

No. 3
First-principles (GGA-PBE) data for crystalline Ac2PmTl3 at its relaxed geometry, as listed in Alexandria.

Values from the calculation:
**Energy of formation from the pure elements**: -210 meV per atom
**Calculated total energy**: -85.30 eV per cell
**Total magnetic moment**: 0.0 Bohr magnetons per cell
**Distance to the lowest polymorph of the same formula**: 149 meV/atom

a b c (Å): 3.9514 30.0271 7.2636
angles (deg): 90.00 90.00 90.00
Closest atoms and distances in Å follow each position.
Space group Cmcm (No. 63)
Inequivalent atoms, fractional coordinates:
1 Ac 0.0000 0.0107 0.2500 (multiplicity 4)  8 Tl 3.48-3.67, 2 Ac 3.69
2 Ac 0.0000 0.1598 0.7500 (multiplicity 4)  6 Tl 3.46-3.54
3 Pm 0.0000 0.3393 0.7500 (multiplicity 4)  4 Tl 3.22-3.23
4 Tl 0.0000 0.2455 0.2500 (multiplicity 4)  2 Pm 3.22, 2 Ac 3.46
5 Tl 0.0000 0.4225 0.0308 (multiplicity 8)  1 Tl 3.18, 1 Pm 3.23, 4 Ac 3.48-3.54